# 1
4
Lattice="0.0000 3.2699 3.2699 3.2699 0.0000 3.2699 3.2699 3.2699 0.0000" Properties=species:S:1:pos:R:3 comment="Ta2MnCd, relaxed, DFT GGA-PBE" magmom_total_mub_per_cell=1.62 formation_energy_mev_per_atom=455 e_tot_ev_per_atom=-7.99 pbc="T T T"
Ta 0.0000 0.0000 0.0000
Ta 1.6349 1.6349 1.6349
Mn 4.9048 4.9048 4.9048
Cd 3.2699 3.2699 3.2699


# 2
4
Lattice="4.4588 -1.4159 0.0000 4.4588 1.4159 0.0000 -0.6910 0.0000 5.2656" Properties=species:S:1:pos:R:3 comment="TaMn2Cd, relaxed, DFT GGA-PBE" magmom_total_mub_per_cell=5.58 formation_energy_mev_per_atom=362 e_tot_ev_per_atom=-7.42 pbc="T T T"
Ta 0.0000 0.0000 0.0000
Mn 1.7045 0.0000 4.0923
Mn 6.5220 0.0000 1.1733
Cd 4.1133 0.0000 2.6328


# 3
4
Lattice="2.9919 0.0000 0.0000 0.0000 2.9919 0.0000 0.0000 0.0000 7.5709" Properties=species:S:1:pos:R:3 comment="Ta2MnCd, relaxed, DFT GGA-PBE" magmom_total_mub_per_cell=0.00 formation_energy_mev_per_atom=139 e_tot_ev_per_atom=-8.31 pbc="T T T"
Ta 0.0000 0.0000 1.5511
Ta 0.0000 0.0000 6.0198
Mn 1.4959 1.4959 0.0000
Cd 1.4959 1.4959 3.7855


# 4
4
Lattice="1.5220 0.8787 9.0106 -1.5220 0.8787 9.0106 0.0000 -1.7575 9.0106" Properties=species:S:1:pos:R:3 comment="Ta2MnCd, relaxed, DFT GGA-PBE" magmom_total_mub_per_cell=2.07 formation_energy_mev_per_atom=327 e_tot_ev_per_atom=-8.12 pbc="T T T"
Ta 0.0000 0.0000 0.0000
Ta 0.0000 0.0000 6.7268
Mn 0.0000 0.0000 13.8421
Cd 0.0000 0.0000 20.5549


# 5
4
Lattice="-2.0321 2.0321 4.2245 2.0321 -2.0321 4.2245 2.0321 2.0321 -4.2245" Properties=species:S:1:pos:R:3 comment="Ta2MnCd, relaxed, DFT GGA-PBE" magmom_total_mub_per_cell=2.24 formation_energy_mev_per_atom=397 e_tot_ev_per_atom=-8.05 pbc="T T T"
Ta 0.0000 0.0000 0.0000
Ta 0.0000 2.0321 2.1123
Mn 0.0000 0.0000 4.2245
Cd 2.0321 0.0000 2.1123


# 6
4
Lattice="1.8302 -2.2253 0.0000 1.8302 2.2253 0.0000 0.0000 0.0000 9.0553" Properties=species:S:1:pos:R:3 comment="TaMnCd2, relaxed, DFT GGA-PBE" magmom_total_mub_per_cell=3.04 relative_energy_mev_per_atom=12.1 formation_energy_mev_per_atom=204 e_tot_ev_per_atom=-5.51 pbc="T T T"
Ta 0.0000 0.0000 0.0000
Mn 1.8302 0.0000 1.9298
Cd 0.0000 0.0000 4.1130
Cd 1.8302 0.0000 6.6592


# 7
4
Lattice="0.0000 3.1857 3.1857 3.1857 0.0000 3.1857 3.1857 3.1857 0.0000" Properties=species:S:1:pos:R:3 comment="TaMn2Cd, relaxed, DFT GGA-PBE" magmom_total_mub_per_cell=4.90 formation_energy_mev_per_atom=492 e_tot_ev_per_atom=-7.28 pbc="T T T"
Ta 0.0000 0.0000 0.0000
Mn 1.5929 1.5929 1.5929
Mn 3.1857 3.1857 3.1857
Cd 4.7786 4.7786 4.7786


# 8
8
Lattice="-1.9441 1.9441 10.1032 1.9441 -1.9441 10.1032 1.9441 1.9441 -10.1032" Properties=species:S:1:pos:R:3 comment="Ta2MnCd, relaxed, DFT GGA-PBE" magmom_total_mub_per_cell=5.71 formation_energy_mev_per_atom=787 e_tot_ev_per_atom=-7.66 pbc="T T T"
Ta 2.9161 0.9431 -2.5258
Ta 0.9431 0.9720 2.5258
Ta -0.9720 1.0010 7.5774
Ta 1.0010 0.9720 12.6291
Mn 0.0000 0.0000 0.0000
Mn 0.0000 1.9441 5.0516
Cd 1.9441 0.0000 5.0516
Cd 0.0000 0.0000 10.1032


# 9
4
Lattice="4.0218 0.0000 0.0000 0.0000 4.0218 0.0000 0.0000 0.0000 4.5060" Properties=species:S:1:pos:R:3 comment="TaMnCd2, relaxed, DFT GGA-PBE" magmom_total_mub_per_cell=2.37 relative_energy_mev_per_atom=208.8 formation_energy_mev_per_atom=401 e_tot_ev_per_atom=-5.31 pbc="T T T"
Ta 0.0000 0.0000 0.0000
Mn 2.0109 2.0109 0.0000
Cd 0.0000 2.0109 2.2530
Cd 2.0109 0.0000 2.2530


# 10
4
Lattice="1.4603 0.8431 9.1636 -1.4603 0.8431 9.1636 0.0000 -1.6863 9.1636" Properties=species:S:1:pos:R:3 comment="TaMn2Cd, relaxed, DFT GGA-PBE" magmom_total_mub_per_cell=6.02 formation_energy_mev_per_atom=318 e_tot_ev_per_atom=-7.46 pbc="T T T"
Ta 0.0000 0.0000 0.0000
Mn 0.0000 0.0000 6.9859
Mn 0.0000 0.0000 20.5050
Cd 0.0000 0.0000 13.7455


# 11
4
Lattice="2.8925 0.0000 0.0000 0.0000 4.0675 0.0000 -0.8973 0.0000 5.7827" Properties=species:S:1:pos:R:3 comment="Ta2MnCd, relaxed, DFT GGA-PBE" magmom_total_mub_per_cell=0.96 formation_energy_mev_per_atom=263 e_tot_ev_per_atom=-8.18 pbc="T T T"
Ta -0.0618 0.0000 1.6207
Ta 2.0570 0.0000 4.1620
Mn 0.9976 2.0337 2.8914
Cd 1.4462 2.0337 0.0000


# 12
4
Lattice="1.7446 -2.2457 0.0000 1.7446 2.2457 0.0000 0.0000 0.0000 9.1264" Properties=species:S:1:pos:R:3 comment="Ta2MnCd, relaxed, DFT GGA-PBE" magmom_total_mub_per_cell=3.33 formation_energy_mev_per_atom=184 e_tot_ev_per_atom=-8.26 pbc="T T T"
Ta 0.0000 0.0000 0.0000
Ta 1.7446 0.0000 2.2758
Mn 1.7446 0.0000 7.0645
Cd 0.0000 0.0000 4.7765